EuVO2, optimized geometry, DFT GGA+U; raw total energy = -8.91 eV/atom; volume = 59.76 Å³/f.u.; space-group type = I4_1/amd (141); size of the total moment = 39.697 μB/cell; excess energy over the best structure of this formula in the dataset = 0 meV/atom
1.0
-3.203 3.203 5.826
3.203 -3.203 5.826
3.203 3.203 -5.826
O Eu V
8 4 4
direct
0.122 0.409 0.713 O
0.159 0.946 0.787 O
0.696 0.409 0.287 O
0.591 0.304 0.713 O
0.591 0.878 0.287 O
0.054 0.841 0.213 O
0.628 0.841 0.787 O
0.159 0.372 0.213 O
0.375 0.125 0.750 Eu
0.375 0.625 0.250 Eu
0.875 0.625 0.250 Eu
0.375 0.625 0.750 Eu
0.875 0.125 0.750 V
0.875 0.125 0.250 V
0.375 0.125 0.250 V
0.875 0.625 0.750 V